Entry 1:
Compound: Ti2FeSi2
Source: Alexandria
Functional: PBE
Structure: relaxed

Summary:
* magnetization: 0.00 μB/f.u.
* density of states at the Fermi level: 2.91 states/eV/f.u.
* energy relative to the elements, uncorrected: -12.52 kcal/mol of atoms
* final energy: -151.25 eV for the cell shown

Cell: 3.9753 13.6949 5.2182 Å, 90.00 90.00 90.00°
Space group Cmc2_1 (No. 36)
Asymmetric unit:
Ti  0.0000  0.0056  0.0000
Ti  0.0000  0.2033  0.8070
Fe  0.0000  0.4008  0.6965
Si  0.0000  0.1723  0.2990
Si  0.0000  0.4220  0.2363



Entry 2:
Compound: Ti2FeSi2
Source: Alexandria
Functional: PBE
Structure: relaxed

Summary:
* magnetization: 1.65 μB/f.u.
* density of states at the Fermi level: 5.05 states/eV/f.u.
* energy relative to the elements, uncorrected: -0.74 kcal/mol of atoms
* final energy: -70.52 eV for the cell shown

Cell: 6.5785 6.5785 3.5871 Å, 90.00 90.00 90.00°
Space group P4/mbm (No. 127)
Asymmetric unit:
Ti  0.1713  0.3287  0.0000
Fe  0.0000  0.0000  0.0000
Si  0.1288  0.6288  0.5000



Entry 3:
Compound: Ti8FeSi2
Source: Alexandria
Functional: PBE
Structure: relaxed

Summary:
* magnetization: 0.00 μB/f.u.
* density of states at the Fermi level: 11.97 states/eV/f.u.
* energy relative to the elements, uncorrected: -8.47 kcal/mol of atoms
* final energy: -173.01 eV for the cell shown

Cell: 4.4336 5.9558 12.9254 Å, 90.00 90.00 90.00°
Space group Immm (No. 71)
Asymmetric unit:
Ti  0.0000  0.0000  0.1781
Ti  0.0000  0.2356  0.3615
Ti  0.0000  0.2608  0.0000
Fe  0.0000  0.5000  0.5000
Si  0.0000  0.5000  0.1859